1.
SCAN KAg2Au, single point on PBEsol structure; formation energy from the elements = 54 meV per atom
1.0
-0.655 -2.666 0.754
1.333 -1.392 -3.760
6.681 -0.880 2.694
Ag Au K
2 1 1
direct
0.000 0.000 0.812
0.000 0.000 0.188
0.500 0.500 0.000
0.500 0.500 0.500


2.
SCAN BaSr3Sc, single point on PBEsol structure; formation energy from the elements = 411 meV per atom
1.0
-3.081 -2.428 5.090
-4.091 -3.031 -3.922
3.882 -5.121 -0.092
Sc Sr Ba
1 3 1
direct
0.000 0.000 0.000
0.000 0.500 0.000
0.000 0.000 0.500
0.500 0.000 0.000
0.500 0.500 0.500


3.
SCAN CaYGe3, single point on PBEsol structure; formation energy from the elements = 502 meV per atom
1.0
-0.329 3.394 -3.765
-5.064 -0.049 0.398
0.230 3.779 3.387
Y Ge Ca
1 3 1
direct
0.500 0.500 0.500
0.000 0.500 0.000
0.000 0.000 0.500
0.500 0.000 0.000
0.000 0.000 0.000


4.
SCAN BaAsPd2, single point on PBEsol structure; formation energy from the elements = -799 meV per atom
1.0
-1.843 1.971 -4.383
-4.376 -2.629 0.658
-0.017 6.562 5.980
As Ba Pd
2 2 4
direct
0.500 0.500 0.000
0.750 0.250 0.500
0.000 0.000 0.000
0.250 0.750 0.500
0.625 0.375 0.750
0.125 0.375 0.750
0.625 0.875 0.250
0.625 0.375 0.250


Number 1: volume 87.30 Å³/cell, spin magnetization 0.0 μB per cell, Fermi-level density of states 0.290 states/eV/atom. Number 2: volume 265.43 Å³/cell, spin magnetization 2.9 μB per cell, Fermi-level density of states 0.801 states/eV/atom. Number 3: volume 131.10 Å³/cell, spin magnetization 0.0 μB per cell, Fermi-level density of states 0.837 states/eV/atom. Number 4: volume 214.52 Å³/cell, spin magnetization 0.0 μB per cell, Fermi-level density of states 0.397 states/eV/atom.